[1]
The following is a PBE calculation of an optimized crystal structure of AcTb6Nd4, from the Alexandria database.

Computed properties:
The value obtained for the energy above the most stable polymorph in this dataset is 85 meV/atom. The space group is No. 121. The formation energy from the elements is 412 meV/atom.

Structure (POSCAR):
```
AcTb6Nd4
1.0
7.998 0.000 0.000
0.000 7.998 0.000
-3.999 -3.999 6.392
Nd Tb Ac
4 6 1
Direct
0.902 0.902 0.144
0.758 0.098 0.856
0.098 0.758 0.856
0.242 0.242 0.144
0.000 0.500 0.000
0.961 0.422 0.383
0.039 0.039 0.617
0.500 0.000 0.000
0.422 0.961 0.383
0.578 0.578 0.617
0.500 0.500 0.000
```

[2]
The following is a PBE calculation of an optimized crystal structure of CuBiRu2Au, from the Alexandria database.

Computed properties:
The space group is No. 123. The formation energy from the elements is 1879 meV/atom.

Structure (POSCAR):
```
CuBiRu2Au
1.0
5.026 0.000 0.000
0.000 5.250 0.000
0.000 0.000 5.026
Au Bi Ru Cu
1 1 2 1
Direct
0.000 0.500 0.000
0.000 0.000 0.000
0.000 0.000 0.500
0.500 0.000 0.000
0.500 0.500 0.500
```

[3]
The following is a PBE calculation of an optimized crystal structure of Ac3TlS6, from the Alexandria database.

Computed properties:
The space group is No. 36. For the raw total energy, the calculation gives -0.414 Ry/atom.

Structure (POSCAR):
```
Ac3TlS6
1.0
-6.156 -2.683 -2.228
1.275 -7.450 5.450
-4.587 5.900 5.566
Ac S Tl
6 12 2
Direct
0.473 0.290 0.086
0.473 0.914 0.710
0.410 0.398 0.602
0.910 0.602 0.398
0.973 0.710 0.914
0.973 0.086 0.290
0.192 0.360 0.320
0.171 0.032 0.968
0.202 0.098 0.567
0.692 0.320 0.360
0.158 0.782 0.218
0.692 0.640 0.680
0.702 0.902 0.433
0.671 0.968 0.032
0.658 0.218 0.782
0.192 0.680 0.640
0.702 0.567 0.098
0.202 0.433 0.902
0.012 0.195 0.805
0.512 0.805 0.195
```

Mass density? In order: 7.14; 8.41; 5.98 Mg/m³.